An optimized crystal structure of KSr2H, computed with PBE.

Geometry as CIF:
```
data_KSr2H
_chemical_formula_sum 'K4 Sr8 H4'
_symmetry_space_group_name_H-M 'F m -3 m'
_symmetry_Int_Tables_number 225
_symmetry_space_group_name_Hall '-F 4 2 3'
_cell_length_a 8.9612
_cell_length_b 8.9612
_cell_length_c 8.9612
_cell_angle_alpha 90.00
_cell_angle_beta 90.00
_cell_angle_gamma 90.00
loop_
_atom_site_label
_atom_site_type_symbol
_atom_site_fract_x
_atom_site_fract_y
_atom_site_fract_z
K1 K 0.0000 0.0000 0.0000
Sr1 Sr 0.2500 0.2500 0.2500
H1 H 0.0000 0.0000 0.5000
```

## Properties
**D(E_F)**: 11.715 states/eV/cell

=====

An optimized crystal structure of KSrH2, computed with PBE.

Geometry as CIF:
```
data_KSrH2
_chemical_formula_sum 'K3 Sr3 H6'
_symmetry_space_group_name_H-M 'R -3 m'
_symmetry_Int_Tables_number 166
_symmetry_space_group_name_Hall '-R 3 2"'
_cell_length_a 4.0393
_cell_length_b 4.0393
_cell_length_c 22.9691
_cell_angle_alpha 90.00
_cell_angle_beta 90.00
_cell_angle_gamma 120.00
loop_
_atom_site_label
_atom_site_type_symbol
_atom_site_fract_x
_atom_site_fract_y
_atom_site_fract_z
K1 K 0.0000 0.0000 0.0000
Sr1 Sr 0.0000 0.0000 0.5000
H1 H 0.0000 0.0000 0.2074
```

## Properties
**D(E_F)**: 6.693 states/eV/cell

=====

An optimized crystal structure of K2Sr2H, computed with PBE.

Geometry as CIF:
```
data_K2Sr2H
_chemical_formula_sum 'K4 Sr4 H2'
_symmetry_space_group_name_H-M 'P 4/m b m'
_symmetry_Int_Tables_number 127
_symmetry_space_group_name_Hall '-P 4 2ab'
_cell_length_a 7.6926
_cell_length_b 7.6926
_cell_length_c 8.0327
_cell_angle_alpha 90.00
_cell_angle_beta 90.00
_cell_angle_gamma 90.00
loop_
_atom_site_label
_atom_site_type_symbol
_atom_site_fract_x
_atom_site_fract_y
_atom_site_fract_z
K1 K 0.1767 0.3233 0.0000
Sr1 Sr 0.1931 0.6931 0.5000
H1 H 0.0000 0.0000 0.5000
```

## Properties
**D(E_F)**: 9.649 states/eV/cell

=====

An optimized crystal structure of K2SrTeH, computed with PBE.

Geometry as CIF:
```
data_K2SrTeH
_chemical_formula_sum 'K2 Sr1 Te1 H1'
_symmetry_space_group_name_H-M 'P 4/m m m'
_symmetry_Int_Tables_number 123
_symmetry_space_group_name_Hall '-P 4 2'
_cell_length_a 5.2564
_cell_length_b 5.2564
_cell_length_c 5.5820
_cell_angle_alpha 90.00
_cell_angle_beta 90.00
_cell_angle_gamma 90.00
loop_
_atom_site_label
_atom_site_type_symbol
_atom_site_fract_x
_atom_site_fract_y
_atom_site_fract_z
K1 K 0.0000 0.5000 0.0000
Sr1 Sr 0.0000 0.0000 0.5000
Te1 Te 0.5000 0.5000 0.5000
H1 H 0.0000 0.0000 0.0000
```

## Properties
**D(E_F)**: 2.013 states/eV/cell

=====

An optimized crystal structure of KSr2TlH, computed with PBE.

Geometry as CIF:
```
data_KSr2TlH
_chemical_formula_sum 'K1 Sr2 Tl1 H1'
_symmetry_space_group_name_H-M 'P 4/m m m'
_symmetry_Int_Tables_number 123
_symmetry_space_group_name_Hall '-P 4 2'
_cell_length_a 5.5038
_cell_length_b 5.5038
_cell_length_c 5.2161
_cell_angle_alpha 90.00
_cell_angle_beta 90.00
_cell_angle_gamma 90.00
loop_
_atom_site_label
_atom_site_type_symbol
_atom_site_fract_x
_atom_site_fract_y
_atom_site_fract_z
K1 K 0.0000 0.0000 0.0000
Sr1 Sr 0.0000 0.5000 0.5000
Tl1 Tl 0.5000 0.5000 0.0000
H1 H 0.0000 0.0000 0.5000
```

## Properties
**D(E_F)**: 3.820 states/eV/cell

=====

An optimized crystal structure of KSrZn2H6, computed with PBE.

Geometry as CIF:
```
data_KSrZn2H6
_chemical_formula_sum 'K4 Sr4 Zn8 H24'
_symmetry_space_group_name_H-M 'C 1 2/c 1'
_symmetry_Int_Tables_number 15
_cell_length_a 7.9993
_cell_length_b 10.8504
_cell_length_c 7.1052
_cell_angle_alpha 90.00
_cell_angle_beta 109.96
_cell_angle_gamma 90.00
loop_
_symmetry_equiv_pos_as_xyz
'x,y,z'
'-x,-y,-z'
'-x,y,-z+1/2'
'x,-y,z+1/2'
'x+1/2,y+1/2,z'
'-x+1/2,-y+1/2,-z'
'-x+1/2,y+1/2,-z+1/2'
'x+1/2,-y+1/2,z+1/2'
loop_
_atom_site_label
_atom_site_type_symbol
_atom_site_fract_x
_atom_site_fract_y
_atom_site_fract_z
K1 K 0.0000 0.1926 0.2500
Sr1 Sr 0.0000 0.4088 0.7500
Zn1 Zn 0.1719 0.0915 0.7523
H1 H 0.1053 0.4064 0.1100
H2 H 0.1519 0.2351 0.6626
H3 H 0.1701 0.0221 0.0871
```

=====

no.,E_tot (eV per atom)
1,-1.4122
2,-2.5808
3,-1.6938
4,-2.6065
5,-2.2298
6,-2.7040